Material: K2TlCuCl6
Method: DFT, GGA-PBE
State: optimized geometry

The structure belongs to space group C2/c (No. 15); the cell edges are 13.611, 11.999 and 6.985 Å and the angles 90.00°, 108.87° and 90.00°. The distinct sites, in fractional coordinates, are K at (0.190, 0.184, 0.230), Tl at (0.000, 0.477, 0.750), Cu at (0.000, 0.011, 0.750), Cl at (0.068, 0.332, 0.498), Cl at (0.111, 0.058, 0.571) and Cl at (0.178, 0.413, 0.023).

The excess energy over the best structure of this formula in the dataset comes out at 137 meV/atom. For the total energy, the calculation gives -2.97 eV per atom.